Entry 1:
Cu3Rh4 after structural relaxation, computed with PBE-GGA.

```
data_Cu3Rh4
_chemical_formula_sum 'Cu3 Rh4'
_cell_length_a 12.818
_cell_length_b 2.722
_cell_length_c 2.722
_cell_angle_alpha 90.00
_cell_angle_beta 83.90
_cell_angle_gamma 96.10
_space_group_name_H-M_alt 'P 1'
_space_group_IT_number 1
_space_group_name_Hall 'P 1'
loop_
_atom_site_label
_atom_site_type_symbol
_atom_site_fract_x
_atom_site_fract_y
_atom_site_fract_z
Cu1 Cu 0.000 0.000 0.000
Cu2 Cu 0.564 0.282 0.718
Cu3 Cu 0.436 0.718 0.282
Rh1 Rh 0.291 0.146 0.854
Rh2 Rh 0.854 0.427 0.573
Rh3 Rh 0.146 0.573 0.427
Rh4 Rh 0.709 0.854 0.146
```

## Properties
**E above lowest polymorph**: 0.000 eV/atom
**Mass density**: 10.65 g/cm³
**E**: -5.9027 eV/atom
**Density of states at the Fermi level**: 8.810 states/eV/cell
**Total moment**: 0.0 μB per formula unit
**E_form**: 0.4 eV per formula unit


Entry 2:
Cu2Rh after structural relaxation, computed with PBE-GGA.

```
data_Cu2Rh
_chemical_formula_sum 'Cu6 Rh3'
_cell_length_a 7.288
_cell_length_b 7.288
_cell_length_c 2.579
_cell_angle_alpha 90.00
_cell_angle_beta 90.00
_cell_angle_gamma 120.00
_space_group_name_H-M_alt 'P 1'
_space_group_IT_number 1
_space_group_name_Hall 'P 1'
loop_
_atom_site_label
_atom_site_type_symbol
_atom_site_fract_x
_atom_site_fract_y
_atom_site_fract_z
Cu1 Cu 0.000 0.306 0.000
Cu2 Cu 0.000 0.638 0.500
Cu3 Cu 0.306 0.000 0.000
Cu4 Cu 0.694 0.694 0.000
Cu5 Cu 0.638 0.000 0.500
Cu6 Cu 0.362 0.362 0.500
Rh1 Rh 0.000 0.000 0.500
Rh2 Rh 0.333 0.667 0.000
Rh3 Rh 0.667 0.333 0.000
```

## Properties
**E above lowest polymorph**: 0.118 eV/atom
**Mass density**: 9.66 g/cm³
**E**: -5.0249 eV/atom
**Density of states at the Fermi level**: 10.241 states/eV/cell
**Total moment**: 0.1 μB per formula unit
**E_form**: 0.5 eV per formula unit


Entry 3:
Cu2Rh after structural relaxation, computed with PBE-GGA.

```
data_Cu2Rh
_chemical_formula_sum 'Cu2 Rh1'
_cell_length_a 4.376
_cell_length_b 4.376
_cell_length_c 2.548
_cell_angle_alpha 90.00
_cell_angle_beta 90.00
_cell_angle_gamma 90.00
_space_group_name_H-M_alt 'P 1'
_space_group_IT_number 1
_space_group_name_Hall 'P 1'
loop_
_atom_site_label
_atom_site_type_symbol
_atom_site_fract_x
_atom_site_fract_y
_atom_site_fract_z
Cu1 Cu 0.000 0.500 0.500
Cu2 Cu 0.500 0.000 0.500
Rh1 Rh 0.000 0.000 0.000
```

## Properties
**E above lowest polymorph**: 0.322 eV/atom
**Mass density**: 7.83 g/cm³
**E**: -4.8208 eV/atom
**Density of states at the Fermi level**: 1.848 states/eV/cell
**Total moment**: 0.0 μB per formula unit
**E_form**: 1.1 eV per formula unit


Entry 4:
Cu5Rh after structural relaxation, computed with PBE-GGA.

```
data_Cu5Rh
_chemical_formula_sum 'Cu5 Rh1'
_cell_length_a 4.749
_cell_length_b 4.749
_cell_length_c 4.749
_cell_angle_alpha 60.00
_cell_angle_beta 60.00
_cell_angle_gamma 60.00
_space_group_name_H-M_alt 'P 1'
_space_group_IT_number 1
_space_group_name_Hall 'P 1'
loop_
_atom_site_label
_atom_site_type_symbol
_atom_site_fract_x
_atom_site_fract_y
_atom_site_fract_z
Cu1 Cu 0.875 0.375 0.375
Cu2 Cu 0.750 0.750 0.750
Cu3 Cu 0.375 0.875 0.375
Cu4 Cu 0.375 0.375 0.375
Cu5 Cu 0.375 0.375 0.875
Rh1 Rh 0.000 0.000 0.000
```

## Properties
**Mass density**: 9.22 g/cm³
**E**: -4.5163 eV/atom
**Density of states at the Fermi level**: 2.500 states/eV/cell
**Total moment**: 0.0 μB per formula unit
**E_form**: 0.7 eV per formula unit


Entry 5:
Cu2Rh after structural relaxation, computed with PBE-GGA.

```
data_Cu2Rh
_chemical_formula_sum 'Cu4 Rh2'
_cell_length_a 5.031
_cell_length_b 5.031
_cell_length_c 10.012
_cell_angle_alpha 140.50
_cell_angle_beta 140.50
_cell_angle_gamma 30.64
_space_group_name_H-M_alt 'P 1'
_space_group_IT_number 1
_space_group_name_Hall 'P 1'
loop_
_atom_site_label
_atom_site_type_symbol
_atom_site_fract_x
_atom_site_fract_y
_atom_site_fract_z
Cu1 Cu 0.989 0.989 0.991
Cu2 Cu 0.112 0.112 0.725
Cu3 Cu 0.336 0.336 0.666
Cu4 Cu 0.668 0.668 0.331
Rh1 Rh 0.451 0.451 0.397
Rh2 Rh 0.776 0.776 0.057
```

## Properties
**E above lowest polymorph**: 0.002 eV/atom
**Mass density**: 9.86 g/cm³
**E**: -5.1415 eV/atom
**Density of states at the Fermi level**: 5.044 states/eV/cell
**Total moment**: 0.0 μB per formula unit
**E_form**: 0.1 eV per formula unit


Entry 6:
Cu2Rh after structural relaxation, computed with PBE-GGA.

```
data_Cu2Rh
_chemical_formula_sum 'Cu2 Rh1'
_cell_length_a 2.655
_cell_length_b 2.655
_cell_length_c 6.349
_cell_angle_alpha 90.00
_cell_angle_beta 90.00
_cell_angle_gamma 120.00
_space_group_name_H-M_alt 'P 1'
_space_group_IT_number 1
_space_group_name_Hall 'P 1'
loop_
_atom_site_label
_atom_site_type_symbol
_atom_site_fract_x
_atom_site_fract_y
_atom_site_fract_z
Rh1 Rh 0.667 0.333 0.333
Cu1 Cu 0.000 0.000 0.993
Cu2 Cu 0.333 0.667 0.673
```

## Properties
**E above lowest polymorph**: 0.000 eV/atom
**Mass density**: 9.86 g/cm³
**E**: -5.1431 eV/atom
**Density of states at the Fermi level**: 3.240 states/eV/cell
**Total moment**: 0.3 μB per formula unit
**E_form**: 0.1 eV per formula unit


Entry 7:
Cu2Rh after structural relaxation, computed with PBE-GGA.

```
data_Cu2Rh
_chemical_formula_sum 'Cu4 Rh2'
_cell_length_a 3.770
_cell_length_b 3.706
_cell_length_c 5.823
_cell_angle_alpha 108.56
_cell_angle_beta 90.00
_cell_angle_gamma 90.00
_space_group_name_H-M_alt 'P 1'
_space_group_IT_number 1
_space_group_name_Hall 'P 1'
loop_
_atom_site_label
_atom_site_type_symbol
_atom_site_fract_x
_atom_site_fract_y
_atom_site_fract_z
Cu1 Cu 0.250 0.588 0.175
Cu2 Cu 0.750 0.412 0.825
Cu3 Cu 0.750 0.749 0.498
Cu4 Cu 0.250 0.251 0.502
Rh1 Rh 0.750 0.084 0.169
Rh2 Rh 0.250 0.916 0.831
```

## Properties
**E above lowest polymorph**: 0.025 eV/atom
**Mass density**: 9.90 g/cm³
**E**: -5.1177 eV/atom
**Density of states at the Fermi level**: 8.913 states/eV/cell
**Total moment**: 0.0 μB per formula unit
**E_form**: 0.2 eV per formula unit


Entry 8:
Cu5Rh after structural relaxation, computed with PBE-GGA.

```
data_Cu5Rh
_chemical_formula_sum 'Cu5 Rh1'
_cell_length_a 3.700
_cell_length_b 4.455
_cell_length_c 5.190
_cell_angle_alpha 105.34
_cell_angle_beta 90.00
_cell_angle_gamma 114.54
_space_group_name_H-M_alt 'P 1'
_space_group_IT_number 1
_space_group_name_Hall 'P 1'
loop_
_atom_site_label
_atom_site_type_symbol
_atom_site_fract_x
_atom_site_fract_y
_atom_site_fract_z
Cu1 Cu 0.303 0.605 0.607
Cu2 Cu 0.642 0.283 0.282
Cu3 Cu 0.638 0.277 0.773
Cu4 Cu 0.972 0.944 0.444
Cu5 Cu 0.306 0.612 0.116
Rh1 Rh 0.972 0.944 0.944
```

## Properties
**Mass density**: 9.38 g/cm³
**E**: -4.6288 eV/atom
**Density of states at the Fermi level**: 2.856 states/eV/cell
**Total moment**: 0.0 μB per formula unit
**E_form**: 0.1 eV per formula unit